4
Lattice="2.903 0.000 0.000 0.000 4.414 0.000 -1.452 -2.207 6.122" Properties=species:S:1:pos:R:3 comment="InCoHg2 | Alexandria | SCAN | PBEsol geometry" formation_enthalpy_0k_ev_per_atom=0.196 m_tot_mub_per_atom=0.376 pbc="T T T"
Hg 0.000 0.000 0.835
Hg 0.000 2.207 3.040
Co 1.452 0.000 3.098
In 0.000 0.000 5.271